No. 1
A plane-wave DFT calculation with PBE-GGA was carried out for DyYHo2Tm5 after structural relaxation.

Cell and atoms, written as POSCAR:
```
DyYHo2Tm5
1.0
2.769 -9.818 0.000
2.769 9.818 0.000
0.000 0.000 10.467
Dy Y Ho Tm
2 2 4 10
Direct
0.200 0.800 0.500
0.800 0.200 0.000
0.414 0.586 0.943
0.586 0.414 0.443
0.110 0.890 0.225
0.113 0.887 0.807
0.887 0.113 0.307
0.890 0.110 0.725
0.018 0.982 0.514
0.281 0.719 0.796
0.300 0.700 0.198
0.390 0.610 0.511
0.479 0.521 0.226
0.521 0.479 0.726
0.610 0.390 0.011
0.700 0.300 0.698
0.719 0.281 0.296
0.982 0.018 0.014
```



No. 2
A plane-wave DFT calculation with PBE-GGA was carried out for DyY2HoTm5 after structural relaxation.

Cell and atoms, written as POSCAR:
```
DyY2HoTm5
1.0
2.775 -9.777 0.000
2.775 9.777 0.000
0.000 0.000 10.527
Dy Y Ho Tm
2 4 2 10
Direct
0.202 0.798 0.500
0.798 0.202 0.000
0.109 0.891 0.226
0.113 0.887 0.809
0.887 0.113 0.309
0.891 0.109 0.726
0.414 0.586 0.947
0.586 0.414 0.447
0.020 0.980 0.516
0.283 0.717 0.796
0.300 0.700 0.198
0.392 0.608 0.511
0.479 0.521 0.227
0.521 0.479 0.727
0.608 0.392 0.011
0.700 0.300 0.698
0.717 0.283 0.296
0.980 0.020 0.016
```



No. 3
A plane-wave DFT calculation with PBE-GGA was carried out for DyYHoTm3 after structural relaxation.

Cell and atoms, written as POSCAR:
```
DyYHoTm3
1.0
2.486 -7.469 0.000
2.486 7.469 0.000
0.000 0.000 9.937
Dy Y Ho Tm
2 2 2 6
Direct
0.001 0.999 0.750
0.999 0.001 0.250
0.333 0.667 0.750
0.667 0.333 0.250
0.500 0.500 0.000
0.500 0.500 0.500
0.167 0.833 0.000
0.167 0.833 0.500
0.334 0.666 0.250
0.666 0.334 0.750
0.833 0.167 0.000
0.833 0.167 0.500
```



No. 4
A plane-wave DFT calculation with PBE-GGA was carried out for Dy6YHo2Tm after structural relaxation.

Cell and atoms, written as POSCAR:
```
Dy6YHo2Tm
1.0
4.497 -7.507 0.000
4.497 7.507 0.000
-1.221 0.000 9.418
Dy Y Ho Tm
12 2 4 2
Direct
0.018 0.569 0.186
0.126 0.752 0.556
0.248 0.874 0.944
0.289 0.503 0.380
0.431 0.982 0.314
0.497 0.711 0.120
0.503 0.289 0.880
0.569 0.018 0.686
0.711 0.497 0.620
0.752 0.126 0.056
0.874 0.248 0.444
0.982 0.431 0.814
0.023 0.977 0.250
0.977 0.023 0.750
0.198 0.306 0.044
0.306 0.198 0.544
0.694 0.802 0.456
0.802 0.694 0.956
0.410 0.590 0.750
0.590 0.410 0.250
```



No. 5
A plane-wave DFT calculation with PBE-GGA was carried out for Dy4Y2Ho2Tm after structural relaxation.

Cell and atoms, written as POSCAR:
```
Dy4Y2Ho2Tm
1.0
9.280 -1.786 0.000
9.280 1.786 0.000
-4.124 0.000 8.537
Dy Y Ho Tm
4 2 2 1
Direct
0.018 0.018 0.332
0.315 0.315 0.667
0.685 0.685 0.333
0.982 0.982 0.668
0.352 0.352 0.334
0.648 0.648 0.666
0.166 0.166 0.001
0.834 0.834 0.999
0.500 0.500 0.000
```



No. 6
A plane-wave DFT calculation with PBE-GGA was carried out for DyYHo3Tm after structural relaxation.

Cell and atoms, written as POSCAR:
```
DyYHo3Tm
1.0
10.973 -2.691 0.000
10.973 2.691 0.000
-0.971 0.000 6.673
Dy Y Ho Tm
2 2 6 2
Direct
0.166 0.166 0.027
0.834 0.834 0.973
0.131 0.131 0.468
0.869 0.869 0.532
0.025 0.025 0.774
0.275 0.275 0.690
0.332 0.332 0.229
0.668 0.668 0.771
0.725 0.725 0.310
0.975 0.975 0.226
0.427 0.427 0.845
0.573 0.573 0.155
```



No. 7
A plane-wave DFT calculation with PBE-GGA was carried out for Dy2Y3Ho6Tm after structural relaxation.

Cell and atoms, written as POSCAR:
```
Dy2Y3Ho6Tm
1.0
3.063 -5.298 0.000
3.063 5.298 0.000
-2.030 0.000 11.545
Dy Y Ho Tm
2 3 6 1
Direct
0.167 0.833 0.000
0.833 0.167 0.000
0.000 0.000 0.500
0.333 0.667 0.500
0.667 0.333 0.500
0.084 0.417 0.752
0.250 0.250 0.248
0.417 0.084 0.752
0.583 0.916 0.248
0.750 0.750 0.752
0.916 0.583 0.248
0.500 0.500 0.000
```



No. 8
A plane-wave DFT calculation with PBE-GGA was carried out for Dy4Y2HoTm2 after structural relaxation.

Cell and atoms, written as POSCAR:
```
Dy4Y2HoTm2
1.0
9.274 -1.785 0.000
9.274 1.785 0.000
-4.120 0.000 8.523
Dy Y Ho Tm
4 2 1 2
Direct
0.018 0.018 0.332
0.315 0.315 0.667
0.685 0.685 0.333
0.982 0.982 0.668
0.352 0.352 0.333
0.648 0.648 0.667
0.500 0.500 0.000
0.167 0.167 0.001
0.833 0.833 0.999
```



No. 9
A plane-wave DFT calculation with PBE-GGA was carried out for DyYHo2Tm after structural relaxation.

Cell and atoms, written as POSCAR:
```
DyYHo2Tm
1.0
4.142 -5.686 0.000
4.142 5.686 0.000
0.000 0.000 7.175
Dy Y Ho Tm
2 2 4 2
Direct
0.218 0.782 0.750
0.782 0.218 0.250
0.231 0.769 0.250
0.769 0.231 0.750
0.192 0.192 0.000
0.192 0.192 0.500
0.808 0.808 0.000
0.808 0.808 0.500
0.490 0.510 0.750
0.510 0.490 0.250
```



No. 10
A plane-wave DFT calculation with PBE-GGA was carried out for DyY5HoTm2 after structural relaxation.

Cell and atoms, written as POSCAR:
```
DyY5HoTm2
1.0
2.789 -9.945 0.000
2.789 9.945 0.000
0.000 0.000 10.533
Dy Y Ho Tm
2 10 2 4
Direct
0.087 0.913 0.500
0.913 0.087 0.000
0.021 0.979 0.785
0.115 0.885 0.070
0.200 0.800 0.753
0.221 0.779 0.363
0.483 0.517 0.069
0.517 0.483 0.569
0.779 0.221 0.863
0.800 0.200 0.253
0.885 0.115 0.570
0.979 0.021 0.285
0.303 0.697 0.060
0.697 0.303 0.560
0.388 0.612 0.363
0.390 0.610 0.786
0.610 0.390 0.286
0.612 0.388 0.863
```



No. 11
A plane-wave DFT calculation with PBE-GGA was carried out for Dy2Y4Ho2Tm after structural relaxation.

Cell and atoms, written as POSCAR:
```
Dy2Y4Ho2Tm
1.0
9.297 -1.789 0.000
9.297 1.789 0.000
-4.131 0.000 8.552
Dy Y Ho Tm
2 4 2 1
Direct
0.149 0.149 0.167
0.851 0.851 0.833
0.185 0.185 0.833
0.481 0.481 0.166
0.519 0.519 0.834
0.815 0.815 0.167
0.334 0.334 0.501
0.666 0.666 0.499
0.000 0.000 0.500
```



No. 12
A plane-wave DFT calculation with PBE-GGA was carried out for DyYHo5Tm2 after structural relaxation.

Cell and atoms, written as POSCAR:
```
DyYHo5Tm2
1.0
2.778 -9.880 0.000
2.778 9.880 0.000
0.000 0.000 10.479
Dy Y Ho Tm
2 2 10 4
Direct
0.199 0.801 0.500
0.801 0.199 0.000
0.413 0.587 0.942
0.587 0.413 0.442
0.017 0.983 0.512
0.280 0.720 0.797
0.300 0.700 0.197
0.390 0.610 0.512
0.479 0.521 0.226
0.521 0.479 0.726
0.610 0.390 0.012
0.700 0.300 0.697
0.720 0.280 0.297
0.983 0.017 0.012
0.110 0.890 0.226
0.113 0.887 0.805
0.887 0.113 0.305
0.890 0.110 0.726
```



No. 13
A plane-wave DFT calculation with PBE-GGA was carried out for DyY2Ho2Tm2 after structural relaxation.

Cell and atoms, written as POSCAR:
```
DyY2Ho2Tm2
1.0
2.814 1.625 8.082
-2.814 1.625 8.082
0.000 -3.249 8.082
Dy Y Ho Tm
1 2 2 2
Direct
0.000 0.000 0.000
0.142 0.142 0.142
0.858 0.858 0.858
0.285 0.285 0.285
0.715 0.715 0.715
0.428 0.428 0.428
0.572 0.572 0.572
```



No. 14
A plane-wave DFT calculation with PBE-GGA was carried out for DyY2Ho2Tm4 after structural relaxation.

Cell and atoms, written as POSCAR:
```
DyY2Ho2Tm4
1.0
5.993 0.000 0.000
2.967 5.935 0.000
2.984 0.361 7.916
Dy Y Ho Tm
1 2 2 4
Direct
0.000 0.000 0.000
0.267 0.670 0.661
0.733 0.330 0.339
0.181 0.223 0.555
0.819 0.777 0.445
0.269 0.425 0.119
0.387 0.876 0.233
0.613 0.124 0.767
0.731 0.575 0.881
```



No. 15
A plane-wave DFT calculation with PBE-GGA was carried out for Dy6YHo3Tm2 after structural relaxation.

Cell and atoms, written as POSCAR:
```
Dy6YHo3Tm2
1.0
3.060 -5.293 0.000
3.060 5.293 0.000
-2.029 0.000 11.518
Dy Y Ho Tm
6 1 3 2
Direct
0.082 0.416 0.750
0.249 0.249 0.250
0.416 0.082 0.750
0.584 0.918 0.250
0.751 0.751 0.750
0.918 0.584 0.250
0.500 0.500 0.000
0.000 0.000 0.500
0.333 0.667 0.500
0.667 0.333 0.500
0.167 0.833 0.000
0.833 0.167 0.000
```



No. 16
A plane-wave DFT calculation with PBE-GGA was carried out for DyY6Ho3Tm2 after structural relaxation.

Cell and atoms, written as POSCAR:
```
DyY6Ho3Tm2
1.0
3.070 -5.310 0.000
3.070 5.310 0.000
-2.038 0.000 11.568
Dy Y Ho Tm
1 6 3 2
Direct
0.000 0.000 0.000
0.083 0.417 0.249
0.250 0.250 0.750
0.417 0.083 0.249
0.583 0.917 0.751
0.750 0.750 0.250
0.917 0.583 0.751
0.167 0.833 0.500
0.500 0.500 0.500
0.833 0.167 0.500
0.333 0.667 0.000
0.667 0.333 0.000
```



No. 17
A plane-wave DFT calculation with PBE-GGA was carried out for Dy2Y3HoTm6 after structural relaxation.

Cell and atoms, written as POSCAR:
```
Dy2Y3HoTm6
1.0
3.051 -5.277 0.000
3.051 5.277 0.000
-2.028 0.000 11.488
Dy Y Ho Tm
2 3 1 6
Direct
0.167 0.833 0.000
0.833 0.167 0.000
0.000 0.000 0.500
0.333 0.667 0.500
0.667 0.333 0.500
0.500 0.500 0.000
0.084 0.417 0.751
0.250 0.250 0.249
0.417 0.084 0.751
0.583 0.916 0.249
0.750 0.750 0.751
0.916 0.583 0.249
```



No. 18
A plane-wave DFT calculation with PBE-GGA was carried out for Dy2Y2Ho4Tm after structural relaxation.

Cell and atoms, written as POSCAR:
```
Dy2Y2Ho4Tm
1.0
9.267 -1.784 0.000
9.267 1.784 0.000
-4.117 0.000 8.528
Dy Y Ho Tm
2 2 4 1
Direct
0.166 0.166 0.001
0.834 0.834 0.999
0.352 0.352 0.335
0.648 0.648 0.665
0.019 0.019 0.332
0.315 0.315 0.666
0.685 0.685 0.334
0.981 0.981 0.668
0.500 0.500 0.000
```



No. 19
A plane-wave DFT calculation with PBE-GGA was carried out for Dy4YHo2Tm2 after structural relaxation.

Cell and atoms, written as POSCAR:
```
Dy4YHo2Tm2
1.0
9.261 -1.783 0.000
9.261 1.783 0.000
-4.111 0.000 8.508
Dy Y Ho Tm
4 1 2 2
Direct
0.019 0.019 0.335
0.315 0.315 0.666
0.685 0.685 0.334
0.981 0.981 0.665
0.500 0.500 0.000
0.352 0.352 0.332
0.648 0.648 0.668
0.167 0.167 0.000
0.833 0.833 0.000
```



No. 20
A plane-wave DFT calculation with PBE-GGA was carried out for Dy2Y5HoTm after structural relaxation.

Cell and atoms, written as POSCAR:
```
Dy2Y5HoTm
1.0
2.792 -9.988 0.000
2.792 9.988 0.000
0.000 0.000 10.524
Dy Y Ho Tm
4 10 2 2
Direct
0.111 0.889 0.500
0.112 0.888 0.079
0.888 0.112 0.579
0.889 0.111 0.000
0.017 0.983 0.784
0.279 0.721 0.078
0.301 0.699 0.469
0.384 0.616 0.785
0.480 0.520 0.502
0.520 0.480 0.002
0.616 0.384 0.285
0.699 0.301 0.969
0.721 0.279 0.578
0.983 0.017 0.284
0.197 0.803 0.776
0.803 0.197 0.276
0.411 0.589 0.218
0.589 0.411 0.718
```



Taking the records one at a time from the top gives energy of formation values of 0.165, 0.156, 0.025, 0.117, 0.004, 0.214, 0.022, 0.006, 0.396, 0.160, 0.004, 0.166, 0.140, 0.096, 0.020, 0.025, 0.026, 0.002, 0.005, 0.152 eV per atom.